Record 1
Below is a relaxed structure of Nd7Zn2Sn2, with properties calculated at the PBE-GGA level.

POSCAR file:
```
Nd7Zn2Sn2
1.0
4.0928 -5.7658 0.0000
4.0928 5.7658 0.0000
0.0000 0.0000 7.3867
Nd Zn Sn
7 2 2
Direct
0.0000 0.0000 0.0000 Nd
0.0000 0.5000 0.2797 Nd
0.0000 0.5000 0.7203 Nd
0.5000 0.0000 0.2797 Nd
0.5000 0.0000 0.7203 Nd
0.5000 0.5000 0.2401 Nd
0.5000 0.5000 0.7599 Nd
0.2832 0.7168 0.0000 Zn
0.7168 0.2832 0.0000 Zn
0.1770 0.1770 0.5000 Sn
0.8230 0.8230 0.5000 Sn
```

Energy of formation, meV/atom: -150
Total magnetic moment, μB per formula unit: 0.0
Raw total energy, eV per atom: -4.144

=====

Record 2
Below is a relaxed structure of Nd3ZnSn3, with properties calculated at the PBE-GGA level.

POSCAR file:
```
Nd3ZnSn3
1.0
5.8574 -2.2893 0.0000
5.8574 2.2893 0.0000
-4.8812 0.0000 14.4742
Nd Zn Sn
6 2 6
Direct
0.0202 0.0202 0.3814 Nd
0.1016 0.1016 0.9208 Nd
0.2367 0.2367 0.2301 Nd
0.7633 0.7633 0.7699 Nd
0.8984 0.8984 0.0792 Nd
0.9798 0.9798 0.6186 Nd
0.2749 0.2749 0.6170 Zn
0.7251 0.7251 0.3830 Zn
0.3515 0.3515 0.4546 Sn
0.3769 0.3769 0.9239 Sn
0.4847 0.4847 0.7691 Sn
0.5153 0.5153 0.2309 Sn
0.6231 0.6231 0.0761 Sn
0.6485 0.6485 0.5454 Sn
```

Energy of formation, meV/atom: -688
Total magnetic moment, μB per formula unit: 0.2
Raw total energy, eV per atom: -4.629

=====

Record 3
Below is a relaxed structure of NdZnSn2, with properties calculated at the PBE-GGA level.

POSCAR file:
```
NdZnSn2
1.0
2.6473 1.5284 7.0965
-2.6473 1.5284 7.0965
0.0000 -3.0568 7.0965
Nd Zn Sn
1 1 2
Direct
0.0000 0.0000 0.0000 Nd
0.5000 0.5000 0.5000 Zn
0.3760 0.3760 0.3760 Sn
0.6240 0.6240 0.6240 Sn
```

Energy of formation, meV/atom: 253
Total magnetic moment, μB per formula unit: 0.0
Raw total energy, eV per atom: -3.258

=====

Record 4
Below is a relaxed structure of NdZnSn, with properties calculated at the PBE-GGA level.

POSCAR file:
```
NdZnSn
1.0
-2.1279 2.1279 4.4518
2.1279 -2.1279 4.4518
2.1279 2.1279 -4.4518
Nd Zn Sn
1 1 1
Direct
0.0000 0.0000 0.0000 Nd
0.3362 0.3362 0.0000 Zn
0.6498 0.6498 0.0000 Sn
```

Energy of formation, meV/atom: -216
Total magnetic moment, μB per formula unit: 0.0
Raw total energy, eV per atom: -3.564

=====

Which formula does entry 3 have?
NdZnSn2

=====

What is the total magnetic moment in the third record?
0.0 μB per formula unit

=====

The lowest energy of formation belongs to which entry?
Nd3ZnSn3

=====

Copy entry 1 word for word.
Below is a relaxed structure of Nd7Zn2Sn2, with properties calculated at the PBE-GGA level.

POSCAR file:
```
Nd7Zn2Sn2
1.0
4.0928 -5.7658 0.0000
4.0928 5.7658 0.0000
0.0000 0.0000 7.3867
Nd Zn Sn
7 2 2
Direct
0.0000 0.0000 0.0000 Nd
0.0000 0.5000 0.2797 Nd
0.0000 0.5000 0.7203 Nd
0.5000 0.0000 0.2797 Nd
0.5000 0.0000 0.7203 Nd
0.5000 0.5000 0.2401 Nd
0.5000 0.5000 0.7599 Nd
0.2832 0.7168 0.0000 Zn
0.7168 0.2832 0.0000 Zn
0.1770 0.1770 0.5000 Sn
0.8230 0.8230 0.5000 Sn
```

Energy of formation, meV/atom: -150
Total magnetic moment, μB per formula unit: 0.0
Raw total energy, eV per atom: -4.144